VASP calculation (PBE) on an optimized crystal structure of PmMnCr2N4.

DOS(E_F) ... 9.1 states/eV per cell
Formation energy from raw total energies ... -4.42 eV/f.u.
ρ ... 6.72 g cm⁻³
Magnetization ... 1.29 μB/f.u.

Lattice parameters (Å, degrees): 6.135 6.135 9.307 90.00 90.00 149.50
Positions (direct):
Pm 0.074 0.926 0.750
Pm 0.926 0.074 0.250
Mn 0.202 0.798 0.250
Mn 0.798 0.202 0.750
Cr 0.403 0.597 0.540
Cr 0.403 0.597 0.960
Cr 0.597 0.403 0.040
Cr 0.597 0.403 0.460
N 0.000 0.000 0.000
N 0.000 0.000 0.500
N 0.311 0.689 0.107
N 0.311 0.689 0.393
N 0.397 0.603 0.750
N 0.603 0.397 0.250
N 0.689 0.311 0.607
N 0.689 0.311 0.893



VASP calculation (PBE) on an optimized crystal structure of Pm2Mn2CrN6.

DOS(E_F) ... 6.3 states/eV per cell
Formation energy from raw total energies ... -5.76 eV/f.u.
ρ ... 6.48 g cm⁻³
Magnetization ... 1.60 μB/f.u.

Lattice parameters (Å, degrees): 6.028 6.028 6.028 55.11 55.11 55.11
Positions (direct):
Pm 0.222 0.222 0.222
Pm 0.778 0.778 0.778
Mn 0.433 0.433 0.433
Mn 0.567 0.567 0.567
Cr 0.000 0.000 0.000
N 0.238 0.238 0.759
N 0.238 0.759 0.238
N 0.241 0.762 0.762
N 0.759 0.238 0.238
N 0.762 0.241 0.762
N 0.762 0.762 0.241



VASP calculation (PBE) on an optimized crystal structure of Pm2MnCrN5.

DOS(E_F) ... 3.8 states/eV per cell
Formation energy from raw total energies ... -7.23 eV/f.u.
ρ ... 6.97 g cm⁻³
Magnetization ... 2.00 μB/f.u.

Lattice parameters (Å, degrees): 7.127 7.127 9.812 90.00 90.00 153.47
Positions (direct):
Pm 0.125 0.875 0.500
Pm 0.134 0.866 0.136
Pm 0.866 0.134 0.636
Pm 0.875 0.125 0.000
Mn 0.207 0.793 0.846
Mn 0.793 0.207 0.346
Cr 0.435 0.565 0.273
Cr 0.565 0.435 0.773
N 0.052 0.948 0.859
N 0.295 0.705 0.476
N 0.313 0.687 0.210
N 0.343 0.657 0.828
N 0.495 0.505 0.121
N 0.505 0.495 0.621
N 0.657 0.343 0.328
N 0.687 0.313 0.710
N 0.705 0.295 0.976
N 0.948 0.052 0.359



VASP calculation (PBE) on an optimized crystal structure of PrMnCr2N4.

DOS(E_F) ... 9.3 states/eV per cell
Formation energy from raw total energies ... -4.05 eV/f.u.
ρ ... 6.51 g cm⁻³
Magnetization ... 1.39 μB/f.u.

Lattice parameters (Å, degrees): 6.162 6.162 9.362 90.00 90.00 149.29
Positions (direct):
Pr 0.074 0.926 0.750
Pr 0.926 0.074 0.250
Mn 0.203 0.797 0.250
Mn 0.797 0.203 0.750
Cr 0.403 0.597 0.541
Cr 0.403 0.597 0.959
Cr 0.597 0.403 0.041
Cr 0.597 0.403 0.459
N 0.000 0.000 0.000
N 0.000 0.000 0.500
N 0.310 0.690 0.105
N 0.310 0.690 0.395
N 0.394 0.606 0.750
N 0.606 0.394 0.250
N 0.690 0.310 0.605
N 0.690 0.310 0.895



VASP calculation (PBE) on an optimized crystal structure of Pr2MnCrN5.

DOS(E_F) ... 3.9 states/eV per cell
Formation energy from raw total energies ... -6.73 eV/f.u.
ρ ... 6.60 g cm⁻³
Magnetization ... 2.00 μB/f.u.

Lattice parameters (Å, degrees): 7.237 7.237 9.915 90.00 90.00 153.60
Positions (direct):
Pr 0.126 0.874 0.500
Pr 0.133 0.867 0.134
Pr 0.867 0.133 0.634
Pr 0.874 0.126 0.000
Mn 0.207 0.793 0.844
Mn 0.793 0.207 0.344
Cr 0.433 0.567 0.274
Cr 0.567 0.433 0.774
N 0.054 0.946 0.858
N 0.296 0.704 0.472
N 0.313 0.687 0.210
N 0.341 0.659 0.827
N 0.494 0.506 0.125
N 0.506 0.494 0.625
N 0.659 0.341 0.327
N 0.687 0.313 0.710
N 0.704 0.296 0.972
N 0.946 0.054 0.358



VASP calculation (PBE) on an optimized crystal structure of Mn2CrPtN.

DOS(E_F) ... 6.1 states/eV per cell
Formation energy from raw total energies ... -1.30 eV/f.u.
ρ ... 11.22 g cm⁻³
Magnetization ... 0.00 μB/f.u.

Lattice parameters (Å, degrees): 3.788 3.788 3.828 90.00 90.00 90.00
Positions (direct):
Mn 0.000 0.500 0.000
Mn 0.500 0.000 0.000
Cr 0.000 0.000 0.500
Pt 0.500 0.500 0.500
N 0.000 0.000 0.000



VASP calculation (PBE) on an optimized crystal structure of RbMnCr2N.

DOS(E_F) ... 3.0 states/eV per cell
Formation energy from raw total energies ... 5.41 eV/f.u.
ρ ... 4.27 g cm⁻³
Magnetization ... 7.60 μB/f.u.
Energy relative to the lowest polymorph listed for this composition ... 0.0 meV per atom

Lattice parameters (Å, degrees): 5.227 5.227 3.676 90.00 90.00 90.00
Positions (direct):
Rb 0.000 0.000 0.000
Mn 0.500 0.500 0.500
Cr 0.000 0.500 0.500
Cr 0.500 0.000 0.500
N 0.500 0.500 0.000



VASP calculation (PBE) on an optimized crystal structure of RbMnCr2N.

DOS(E_F) ... 4.2 states/eV per cell
Formation energy from raw total energies ... 13.19 eV/f.u.
ρ ... 3.27 g cm⁻³
Magnetization ... 5.28 μB/f.u.
Energy relative to the lowest polymorph listed for this composition ... 1557.0 meV per atom

Lattice parameters (Å, degrees): 5.472 5.472 4.377 90.00 90.00 90.00
Positions (direct):
Rb 0.000 0.000 0.000
Mn 0.500 0.500 0.500
Cr 0.000 0.500 0.000
Cr 0.500 0.000 0.000
N 0.000 0.000 0.500



VASP calculation (PBE) on an optimized crystal structure of Mn2CrReN.

DOS(E_F) ... 3.4 states/eV per cell
Formation energy from raw total energies ... -0.59 eV/f.u.
ρ ... 11.13 g cm⁻³
Magnetization ... 0.00 μB/f.u.

Lattice parameters (Å, degrees): 3.756 3.756 3.830 90.00 90.00 90.00
Positions (direct):
Mn 0.000 0.500 0.000
Mn 0.500 0.000 0.000
Cr 0.000 0.000 0.500
Re 0.500 0.500 0.500
N 0.000 0.000 0.000



VASP calculation (PBE) on an optimized crystal structure of MnCr2ReN.

DOS(E_F) ... 3.8 states/eV per cell
Formation energy from raw total energies ... -0.78 eV/f.u.
ρ ... 10.79 g cm⁻³
Magnetization ... 0.36 μB/f.u.

Lattice parameters (Å, degrees): 3.828 3.828 3.770 90.00 90.00 90.00
Positions (direct):
Mn 0.000 0.000 0.000
Cr 0.000 0.500 0.500
Cr 0.500 0.000 0.500
Re 0.500 0.500 0.000
N 0.000 0.000 0.500



VASP calculation (PBE) on an optimized crystal structure of MnCr2RhN.

DOS(E_F) ... 7.7 states/eV per cell
Formation energy from raw total energies ... -1.09 eV/f.u.
ρ ... 8.35 g cm⁻³
Magnetization ... 0.60 μB/f.u.

Lattice parameters (Å, degrees): 3.823 3.823 3.754 90.00 90.00 90.00
Positions (direct):
Mn 0.000 0.000 0.000
Cr 0.000 0.500 0.500
Cr 0.500 0.000 0.500
Rh 0.500 0.500 0.000
N 0.000 0.000 0.500



VASP calculation (PBE) on an optimized crystal structure of Mn2CrRhN.

DOS(E_F) ... 7.7 states/eV per cell
Formation energy from raw total energies ... -0.88 eV/f.u.
ρ ... 8.57 g cm⁻³
Magnetization ... 0.00 μB/f.u.

Lattice parameters (Å, degrees): 3.756 3.756 3.827 90.00 90.00 90.00
Positions (direct):
Mn 0.000 0.500 0.000
Mn 0.500 0.000 0.000
Cr 0.000 0.000 0.500
Rh 0.500 0.500 0.500
N 0.000 0.000 0.000